Compound: Pr4Y4Ho
Source: Alexandria
Functional: PBE
Structure: optimized geometry

Cell: 6.2662 6.2624 12.0563 Å, 85.32 64.32 48.57°
Positions (direct):
Pr 0.1673 0.3320 0.3322
Pr 0.8327 0.6680 0.6678
Pr 0.9440 0.2225 0.8893
Pr 0.0560 0.7775 0.1107
Y 0.6088 0.5559 0.2234
Y 0.7199 0.1118 0.4457
Y 0.3912 0.4441 0.7766
Y 0.2801 0.8882 0.5543
Ho 0.5000 0.0000 0.0000

## Properties
V ... 33.85 Å³ per atom
SG ... C2/m
Electronic total energy ... -5.49 eV/atom
Energy above the most stable polymorph in this dataset ... 0.0000 eV/atom

***

Compound: Pr4Y8Ho3
Source: Alexandria
Functional: PBE
Structure: optimized geometry

Cell: 6.8066 9.3702 9.3702 Å, 87.13 111.40 111.40°
Site moments in Bohr magnetons follow the coordinates.
Positions (direct):
Pr 0.5000 0.0000 0.0000  0.12
Pr 0.0000 0.5000 0.0000  0.00
Pr 0.0000 0.0000 0.0000  0.02
Pr 0.0000 0.0000 0.5000  0.00
Y 0.5199 0.2671 0.2671  0.02
Y 0.0000 0.6397 0.3603  0.01
Y 0.0041 0.2710 0.2710  0.01
Y 0.5000 0.7448 0.2552  0.07
Y 0.5000 0.2552 0.7448  0.07
Y 0.9959 0.7290 0.7290  0.01
Y 0.0000 0.3603 0.6397  0.01
Y 0.4801 0.7329 0.7329  0.02
Ho 0.5000 0.5000 0.0000  0.01
Ho 0.5000 0.0000 0.5000  0.01
Ho 0.5000 0.5000 0.5000  0.04

## Properties
V ... 34.38 Å³ per atom
SG ... C2/m
Electronic total energy ... -5.28 eV/atom
Energy above the most stable polymorph in this dataset ... 0.2405 eV/atom

***

Compound: Pr7Y2Ho2
Source: Alexandria
Functional: PBE
Structure: optimized geometry

Cell: 8.3091 7.0389 7.0389 Å, 79.44 78.13 78.13°
Positions (direct):
Pr 0.1788 0.0855 0.4791
Pr 0.8212 0.5209 0.9145
Pr 0.8212 0.9145 0.5209
Pr 0.1788 0.4791 0.0855
Pr 0.0000 0.0000 0.0000
Pr 0.4453 0.7386 0.7386
Pr 0.5547 0.2614 0.2614
Y 0.5000 0.2128 0.7872
Y 0.5000 0.7872 0.2128
Ho 0.8109 0.4478 0.4478
Ho 0.1891 0.5522 0.5522

## Properties
V ... 35.45 Å³ per atom
SG ... C2/m
Electronic total energy ... -4.90 eV/atom
Energy above the most stable polymorph in this dataset ... 0.0154 eV/atom

***

Compound: PrHo2Zn
Source: Alexandria
Functional: PBE
Structure: optimized geometry

Cell: 4.8105 4.7771 4.7771 Å, 90.00 90.00 90.00°
Positions (direct):
Pr 0.5000 0.5000 0.5000
Zn 0.5000 0.0000 0.0000
Ho 0.0000 0.0000 0.5000
Ho 0.0000 0.5000 0.0000

## Properties
V ... 27.44 Å³ per atom
SG ... P4/mmm
Electronic total energy ... -3.83 eV/atom
Energy above the most stable polymorph in this dataset ... 0.1375 eV/atom

***

Compound: Pr8Ho2Zn
Source: Alexandria
Functional: PBE
Structure: optimized geometry

Cell: 5.7318 6.5860 10.1860 Å, 92.94 106.34 90.00°
Positions (direct):
Pr 0.4198 0.3927 0.8396
Pr 0.6561 0.1202 0.3123
Pr 0.8425 0.1937 0.6851
Pr 0.9602 0.7490 0.9204
Pr 0.1575 0.8063 0.3149
Pr 0.3439 0.8798 0.6877
Pr 0.5802 0.6073 0.1604
Pr 0.0398 0.2510 0.0796
Ho 0.7629 0.6647 0.5258
Ho 0.2371 0.3353 0.4742
Zn 0.5000 0.0000 0.0000

## Properties
V ... 33.50 Å³ per atom
SG ... C2/m
Electronic total energy ... -4.44 eV/atom

***

Compound: PrHo2Zn
Source: Alexandria
Functional: PBE
Structure: optimized geometry

Cell: 3.6157 3.6157 10.5472 Å, 80.13 80.13 60.00°
Positions (direct):
Pr 0.5005 0.5005 0.4984
Ho 0.0696 0.0696 0.7911
Ho 0.2636 0.2636 0.2092
Zn 0.6663 0.6663 0.0012

## Properties
V ... 29.26 Å³ per atom
SG ... R3m
Electronic total energy ... -3.85 eV/atom
Energy above the most stable polymorph in this dataset ... 0.1115 eV/atom

***

> Among the records above, which one has the highest V?

Pr7Y2Ho2

***

> Among the records above, which one has the lowest electronic total energy?

Pr4Y4Ho

***

> Which value of electronic total energy does entry 5 give?

-4.44 eV/atom

***

> Which of these has the highest electronic total energy?

number 4